1.
This record from Alexandria via LeMat-Bulk describes PrSmEr5Th2 after structural relaxation. The functional is PBE.

Summary:
ΔE_f ... 325 meV/atom
ρ ... 8.84 g cm⁻³

Cell: 8.8982 8.8982 9.8276 Å, 116.92 116.92 90.00°
Last column: nearest neighbours and their distance in Å.
Positions (direct):
Th1 0.1182 0.3818 0.0000  1 Th 2.97, 2 Er 3.02
Th2 0.3818 0.8818 0.0000  1 Th 2.97, 2 Er 3.02
Th3 0.6182 0.1182 0.0000  1 Th 2.97, 2 Er 3.02
Th4 0.8818 0.6182 0.0000  1 Th 2.97, 2 Er 3.02
Er1 0.4301 0.3429 0.2730  1 Th 3.02, 1 Sm 3.11
Er2 0.6571 0.1571 0.7270  1 Th 3.02, 1 Sm 3.11
Er3 0.1571 0.0699 0.7270  1 Th 3.02, 1 Sm 3.11
Er4 0.9301 0.4301 0.2730  1 Th 3.02, 1 Sm 3.11
Er5 0.0000 0.0000 0.0000  4 Th 3.56, 2 Pr 3.77, 8 Er 3.80
Er6 0.3429 0.8429 0.2730  1 Th 3.02, 1 Sm 3.11
Er7 0.8429 0.9301 0.2730  1 Th 3.02, 1 Sm 3.11
Er8 0.5000 0.5000 0.0000  4 Th 3.56, 2 Pr 3.77, 8 Er 3.80
Er9 0.0699 0.5699 0.7270  1 Th 3.02, 1 Sm 3.11
Er10 0.5699 0.6571 0.7270  1 Th 3.02, 1 Sm 3.11
Sm1 0.2500 0.7500 0.5000  4 Er 3.11
Sm2 0.7500 0.2500 0.5000  4 Er 3.11
Pr1 0.7500 0.7500 0.5000  10 Er 3.62-3.77
Pr2 0.2500 0.2500 0.5000  10 Er 3.62-3.77

---

2.
This record from Alexandria via LeMat-Bulk describes PrSm3ErTh after structural relaxation. The functional is PBE.

Summary:
ΔE_f ... 31 meV/atom
ρ ... 8.20 g cm⁻³

Cell: 5.1155 8.0919 10.8304 Å, 116.44 90.00 90.00°
Last column: nearest neighbours and their distance in Å.
Positions (direct):
Pr1 0.7500 0.8779 0.7075  3 Er 3.60-3.61, 8 Sm 3.62-3.71, 1 Th 3.63
Pr2 0.2500 0.1221 0.2925  3 Er 3.60-3.61, 8 Sm 3.62-3.71, 1 Th 3.63
Sm1 0.2500 0.6153 0.7946  3 Th 3.53-3.54, 1 Er 3.53, 6 Sm 3.61-3.76, 2 Pr 3.71
Sm2 0.7500 0.8656 0.0443  3 Th 3.52-3.56, 1 Er 3.53, 5 Sm 3.62-3.76, 3 Pr 3.62-3.69
Sm3 0.2500 0.6282 0.4556  3 Er 3.58-3.62, 1 Th 3.59, 5 Sm 3.61-3.72, 3 Pr 3.63-3.67
Sm4 0.7500 0.3718 0.5444  3 Er 3.58-3.62, 1 Th 3.59, 5 Sm 3.61-3.72, 3 Pr 3.63-3.67
Sm5 0.2500 0.1344 0.9557  3 Th 3.52-3.56, 1 Er 3.53, 5 Sm 3.62-3.76, 3 Pr 3.62-3.69
Sm6 0.7500 0.3847 0.2054  3 Th 3.53-3.54, 1 Er 3.53, 6 Sm 3.61-3.76, 2 Pr 3.71
Er1 0.7500 0.8717 0.3721  5 Sm 3.53-3.62, 3 Pr 3.60-3.61, 2 Th 3.62, 2 Er 3.66
Er2 0.2500 0.1283 0.6279  5 Sm 3.53-3.62, 3 Pr 3.60-3.61, 2 Th 3.62, 2 Er 3.66
Th1 0.7500 0.3792 0.8780  7 Sm 3.52-3.59, 2 Th 3.57, 2 Er 3.62, 1 Pr 3.63
Th2 0.2500 0.6208 0.1220  7 Sm 3.52-3.59, 2 Th 3.57, 2 Er 3.62, 1 Pr 3.63

---

3.
This record from Alexandria via LeMat-Bulk describes Pr2SmEr2Th2 after structural relaxation. The functional is PBE.

Summary:
ΔE_f ... 243 meV/atom
ρ ... 8.26 g cm⁻³

Cell: 5.6260 6.5918 11.6511 Å, 134.41 90.00 115.26°
Last column: nearest neighbours and their distance in Å.
Positions (direct):
Sm1 0.0000 0.0000 0.5000  2 Er 3.28, 4 Th 3.66
Er1 0.5675 0.1350 0.1804  1 Er 3.13, 1 Sm 3.28, 3 Th 3.30-3.32, 1 Pr 3.44
Er2 0.4325 0.8650 0.8196  1 Er 3.13, 1 Sm 3.28, 3 Th 3.30-3.32, 1 Pr 3.44
Th1 0.7545 0.5091 0.5860  3 Er 3.30-3.32, 1 Pr 3.38, 2 Th 3.41, 2 Sm 3.66
Th2 0.2455 0.4909 0.4140  3 Er 3.30-3.32, 1 Pr 3.38, 2 Th 3.41, 2 Sm 3.66
Pr1 0.7699 0.5397 0.8882  1 Th 3.38, 3 Er 3.44-3.66
Pr2 0.2301 0.4603 0.1118  1 Th 3.38, 3 Er 3.44-3.66

---

4.
This record from Alexandria via LeMat-Bulk describes PrSmEr2Tl4 after structural relaxation. The functional is PBE.

Summary:
ΔE_f ... -344 meV/atom
ρ ... 10.61 g cm⁻³

Cell: 5.4215 5.4215 9.4093 Å, 73.26 73.26 60.00°
Last column: nearest neighbours and their distance in Å.
Positions (direct):
Pr1 0.0000 0.0000 0.0000  8 Tl 3.33-3.35
Tl1 0.3760 0.3760 0.8721  1 Sm 3.30, 4 Er 3.31-3.36, 3 Pr 3.33
Tl2 0.6240 0.6240 0.1279  1 Sm 3.30, 4 Er 3.31-3.36, 3 Pr 3.33
Tl3 0.1259 0.1259 0.6224  4 Er 3.30-3.33, 3 Sm 3.31, 1 Pr 3.35
Tl4 0.8741 0.8741 0.3776  4 Er 3.30-3.33, 3 Sm 3.31, 1 Pr 3.35
Er1 0.2499 0.2499 0.2504  8 Tl 3.30-3.36
Er2 0.7501 0.7501 0.7496  8 Tl 3.30-3.36
Sm1 0.5000 0.5000 0.5000  8 Tl 3.30-3.31

---

5.
This record from Alexandria via LeMat-Bulk describes Pr2Sm6Er3Tl after structural relaxation. The functional is PBE.

Summary:
ΔE_f ... -29 meV/atom
ρ ... 8.12 g cm⁻³

Cell: 6.1812 6.1812 11.8709 Å, 94.99 94.99 120.07°
Last column: nearest neighbours and their distance in Å.
Positions (direct):
Sm1 0.7576 0.7576 0.2539  6 Sm 3.50-3.61, 3 Er 3.53-3.56, 1 Tl 3.59, 2 Pr 3.62
Sm2 0.5892 0.9159 0.7469  6 Sm 3.50-3.61, 3 Er 3.53-3.57, 1 Tl 3.58, 2 Pr 3.62
Sm3 0.4108 0.0841 0.2531  6 Sm 3.50-3.61, 3 Er 3.53-3.57, 1 Tl 3.58, 2 Pr 3.62
Sm4 0.9159 0.5892 0.7469  6 Sm 3.50-3.61, 3 Er 3.53-3.57, 1 Tl 3.58, 2 Pr 3.62
Sm5 0.0841 0.4108 0.2531  6 Sm 3.50-3.61, 3 Er 3.53-3.57, 1 Tl 3.58, 2 Pr 3.62
Sm6 0.2424 0.2424 0.7461  6 Sm 3.50-3.61, 3 Er 3.53-3.56, 1 Tl 3.59, 2 Pr 3.62
Tl1 0.0000 0.0000 0.0000  6 Pr 3.56-3.57, 6 Sm 3.58-3.59
Pr1 0.3337 0.6663 0.0000  3 Pr 3.56-3.57, 3 Tl 3.56-3.57, 6 Sm 3.62
Pr2 0.6663 0.3337 0.0000  3 Pr 3.56-3.57, 3 Tl 3.56-3.57, 6 Sm 3.62
Er1 0.5000 0.5000 0.5000  6 Sm 3.53-3.56, 6 Er 3.57
Er2 0.1669 0.8331 0.5000  6 Sm 3.53-3.57, 6 Er 3.56-3.58
Er3 0.8331 0.1669 0.5000  6 Sm 3.53-3.57, 6 Er 3.56-3.58

---

6.
This record from Alexandria via LeMat-Bulk describes PrSm2ErTl4 after structural relaxation. The functional is PBE.

Summary:
ΔE_f ... -360 meV/atom
ρ ... 10.29 g cm⁻³

Cell: 5.4520 5.4520 9.4779 Å, 73.28 73.28 60.00°
Last column: nearest neighbours and their distance in Å.
Positions (direct):
Tl1 0.3770 0.3770 0.8691  1 Er 3.30, 4 Sm 3.33-3.43, 3 Pr 3.36
Tl2 0.6230 0.6230 0.1309  1 Er 3.30, 4 Sm 3.33-3.43, 3 Pr 3.36
Tl3 0.8733 0.8733 0.3802  4 Sm 3.28-3.35, 3 Er 3.33, 1 Pr 3.40
Tl4 0.1267 0.1267 0.6198  4 Sm 3.28-3.35, 3 Er 3.33, 1 Pr 3.40
Pr1 0.0000 0.0000 0.0000  8 Tl 3.36-3.40
Sm1 0.2490 0.2490 0.2530  8 Tl 3.28-3.43
Sm2 0.7510 0.7510 0.7470  8 Tl 3.28-3.43
Er1 0.5000 0.5000 0.5000  8 Tl 3.30-3.33

---

Q: ΔE_f of number 3 (Pr2SmEr2Th2)?
A: 243 meV/atom